Density functional theory data (PBE with a Hubbard U) for an optimized crystal structure of VZnO2.

Structure (extended XYZ):
```
16
Lattice="7.5788 -1.4953 0.0000 7.5788 1.4953 0.0000 -6.4231 0.0000 9.2286" Properties=species:S:1:pos:R:3 pbc="T T T"
V 0.5245 0.0000 3.1888
V -1.3905 0.2318 8.6507
V 10.1251 0.2318 0.5779
V 8.2100 0.0000 6.0398
Zn 3.4143 1.0211 3.7223
Zn 5.3203 1.0211 5.5064
Zn 5.1837 -0.4840 2.6133
Zn 3.5509 -0.4840 6.6153
O -3.4425 0.2540 8.4536
O 1.9965 0.2125 1.7230
O -0.4485 -0.0269 5.0569
O 1.7055 -0.0120 6.7982
O 7.0291 -0.0120 2.4304
O 6.7380 0.2125 7.5056
O 12.1771 0.2540 0.7750
O 9.1830 -0.0269 4.1717
```

Calculated values
Final energy = -98.5 eV for the cell shown
Crystal system = monoclinic
SG = C2, No. 5